(1)
Computed, not measured: an optimized crystal structure of LaInFe at the GGA-PBE level of DFT.

The structure in POSCAR format:
```
LaInFe
1.0
-3.939 1.204 -2.921
-4.635 0.246 1.988
-2.277 4.474 0.550
In La Fe
1 1 1
direct
0.500 0.500 0.500
0.750 0.750 0.750
0.000 0.000 0.000
```

Values from the calculation:
The calculation puts the spin magnetization at 2.668 μB per formula unit. As for the energy relative to the elements: 0.780 eV/atom. The crystal system is cubic. For the total DFT energy (no corrections), the calculation gives -13.79 eV for the cell shown. Its volume is 30.4 Å³ per atom.


(2)
Computed, not measured: an optimized crystal structure of La2InFe at the GGA-PBE level of DFT.

The structure in POSCAR format:
```
La2InFe
1.0
-1.190 -3.459 -0.782
-0.506 -0.949 4.968
-5.584 1.401 2.301
La Fe In
2 1 1
direct
0.500 0.258 0.360
0.000 0.938 0.999
0.000 0.742 0.390
0.500 0.562 0.751
```

Values from the calculation:
The calculation puts the spin magnetization at 0.274 μB per formula unit. As for the energy relative to the elements: -0.090 eV/atom. The crystal system is orthorhombic. For the total DFT energy (no corrections), the calculation gives -21.42 eV for the cell shown. Its volume is 26.9 Å³ per atom.